(1)
Density functional theory data (GGA-PBE) for Tl2Se2S after structural relaxation.

Properties
Its space-group type is C2/m (12).

```
10
Lattice="6.0509 0.0000 2.3805 2.4120 7.7562 2.7496 0.6241 0.3624 7.2942" Properties=species:S:1:pos:R:3 pbc="T T T"
Se 3.8064 3.2581 8.0857
Se 1.8590 1.9272 4.1551
Se 7.2279 6.1915 8.2692
Se 5.2805 4.8605 4.3387
Tl 4.1457 6.4142 7.2232
Tl 4.9412 1.7045 5.2012
Tl 6.8010 3.1335 9.3546
Tl 2.2860 4.9851 3.0698
S 6.4466 6.9233 10.2554
S 2.6404 1.1953 2.1690
```

***

(2)
Density functional theory data (GGA-PBE) for TlSeS2 after structural relaxation.

Properties
Its space-group type is R-3m (166). For the density of states at the Fermi level, the calculation gives 0.5742 states/eV/atom.

```
4
Lattice="2.1082 0.0000 9.1944 -1.0541 1.8258 9.1944 -1.0541 -1.8258 9.1944" Properties=species:S:1:pos:R:3 pbc="T T T"
S 0.0000 0.0000 24.4235
S 0.0000 0.0000 3.1596
Se 0.0000 0.0000 13.7915
Tl 0.0000 0.0000 0.0000
```

***

no.,formation energy (no corrections) (eV/atom),calculated volume (Å³ per cell)
1,-0.1582,327
2,0.2262,106